[1]
RbGaSe2: relaxed, PBE.

Calculated values
Size of the total moment (μB/atom): 0.000
VASP energy (eV/atom): -3.45

a b c (Å): 5.0070 21.5332 5.4999
angles (deg): 90.00 90.00 90.00
Space group Cmcm (No. 63)
One atom of each set of equivalent atoms:
Rb1 0.0000 0.1674 0.2500 [4 per cell]
Ga1 0.0000 0.4388 0.2500 [4 per cell]
Se1 0.0000 0.3322 0.2500 [4 per cell]
Se2 0.0000 0.4521 0.7500 [4 per cell]

[2]
RbGaSe2: relaxed, PBE.

Calculated values
Size of the total moment (μB/atom): 0.000
VASP energy (eV/atom): -3.59

a b c (Å): 10.5129 4.1499 14.3214
angles (deg): 90.00 90.00 90.00
Space group Pnma (No. 62)
One atom of each set of equivalent atoms:
Rb1 0.2252 0.2500 0.1914 [4 per cell]
Ga1 0.0314 0.7500 0.4071 [4 per cell]
Se1 0.0205 0.2500 0.7481 [4 per cell]
Se2 0.1471 0.2500 0.4746 [4 per cell]

[3]
RbGaSe: relaxed, PBE.

Calculated values
Size of the total moment (μB/atom): 0.000
Distance to the lowest polymorph of the same formula (eV per atom): 0.0573

a b c (Å): 4.2574 4.2574 6.3269
angles (deg): 90.00 90.00 120.00
Space group P3m1 (No. 156)
One atom of each set of equivalent atoms:
Rb1 0.0000 0.0000 0.0000 [1 per cell]
Ga1 0.3333 0.6667 0.5701 [1 per cell]
Se1 0.6667 0.3333 0.3694 [1 per cell]

[4]
RbGaSe2: relaxed, PBE.

Calculated values
Size of the total moment (μB/atom): 0.000
VASP energy (eV/atom): -3.35

a b c (Å): 4.2085 4.2085 26.6099
angles (deg): 90.00 90.00 120.00
Space group R3m (No. 160, hexagonal axes)
One atom of each set of equivalent atoms:
Rb1 0.0000 0.0000 0.0000 [3 per cell]
Ga1 0.0000 0.0000 0.5053 [3 per cell]
Se1 0.0000 0.0000 0.1321 [3 per cell]
Se2 0.0000 0.0000 0.5906 [3 per cell]

[5]
Rb3GaSe: relaxed, PBE.

Calculated values
Size of the total moment (μB/atom): 0.395
Distance to the lowest polymorph of the same formula (eV per atom): 0.0000

a b c (Å): 6.6217 6.6217 6.6217
angles (deg): 90.00 90.00 90.00
Space group Pm-3m (No. 221)
One atom of each set of equivalent atoms:
Rb1 0.0000 0.0000 0.5000 [3 per cell]
Ga1 0.5000 0.5000 0.5000 [1 per cell]
Se1 0.0000 0.0000 0.0000 [1 per cell]

[6]
RbGaSe2: relaxed, PBE.

Calculated values
Size of the total moment (μB/atom): 0.000
VASP energy (eV/atom): -3.25

a b c (Å): 3.9403 20.5856 7.2316
angles (deg): 90.00 90.00 90.00
Space group Cmcm (No. 63)
One atom of each set of equivalent atoms:
Rb1 0.0000 0.0709 0.2500 [4 per cell]
Ga1 0.0000 0.3270 0.2500 [4 per cell]
Se1 0.0000 0.0991 0.7500 [4 per cell]
Se2 0.0000 0.2187 0.2500 [4 per cell]

[7]
RbGaSe2: relaxed, PBE.

Calculated values
Size of the total moment (μB/atom): 0.000
VASP energy (eV/atom): -3.03

a b c (Å): 6.1308 6.1308 2.9282
angles (deg): 90.00 90.00 90.00
Space group P4/mmm (No. 123)
One atom of each set of equivalent atoms:
Rb1 0.0000 0.0000 0.0000 [1 per cell]
Ga1 0.5000 0.5000 0.0000 [1 per cell]
Se1 0.0000 0.5000 0.5000 [2 per cell]

[8]
RbGaSe2: relaxed, PBE.

Calculated values
Size of the total moment (μB/atom): 0.000
VASP energy (eV/atom): -3.65

a b c (Å): 6.9217 10.9362 6.8476
angles (deg): 90.00 90.00 90.00
Space group Pna2_1 (No. 33)
One atom of each set of equivalent atoms:
Rb1 0.0131 0.1222 0.0000 [4 per cell]
Ga1 0.0392 0.3744 0.4440 [4 per cell]
Se1 0.0166 0.4247 0.0933 [4 per cell]
Se2 0.1234 0.8178 0.0235 [4 per cell]